MgCdSeO, optimized geometry, DFT PBE; V = 340.9 Å³/cell; E above lowest polymorph = 151.6 meV/atom
1.0
-4.418 3.993 0.093
-2.443 -2.549 -6.657
-4.460 -5.017 3.557
Cd Mg O Se
4 4 4 4
Direct
0.315 0.651 0.166
0.685 0.151 0.334
0.185 0.349 0.666
0.815 0.849 0.834
0.188 0.202 0.086
0.812 0.702 0.414
0.312 0.798 0.586
0.688 0.298 0.914
0.504 0.212 0.101
0.496 0.712 0.399
0.996 0.788 0.601
0.004 0.288 0.899
0.974 0.900 0.150
0.026 0.400 0.350
0.526 0.100 0.650
0.474 0.600 0.850